[1]
First-principles (PBE) data for an optimized crystal structure of SrMgZn2O4, as listed in Alexandria.

a b c (Å): 5.322 5.348 5.348
angles (deg): 59.68 60.16 60.16
Element x y z (fractional)
Sr: 0.000 0.000 0.000
Mg: 0.500 0.500 0.500
Zn: 0.250 0.250 0.250
Zn: 0.750 0.750 0.750
O: 0.438 0.134 0.562
O: 0.134 0.866 0.438
O: 0.866 0.562 0.134
O: 0.562 0.438 0.866

## Properties
Formation energy (no corrections) in eV per atom: -1.982
Size of the total moment in μB/atom: 0.00



[2]
First-principles (PBE) data for an optimized crystal structure of Ag3Cl, as listed in Alexandria.

a b c (Å): 3.503 3.542 6.867
angles (deg): 89.90 90.00 90.00
Element x y z (fractional)
Ag: 0.000 0.249 0.955
Ag: 0.500 0.750 0.750
Ag: 0.000 0.251 0.545
Cl: 0.500 0.250 0.250

## Properties
Formation energy (no corrections) in eV per atom: -0.102
Size of the total moment in μB/atom: 0.00
Relative energy among the computed polymorphs in meV per atom: 0



[3]
First-principles (PBE) data for an optimized crystal structure of LaOsO2F, as listed in Alexandria.

a b c (Å): 4.072 4.072 4.172
angles (deg): 90.00 90.00 90.00
Element x y z (fractional)
F: 0.000 0.000 0.500
Os: 0.000 0.000 0.000
O: 0.000 0.500 0.000
O: 0.500 0.000 0.000
La: 0.500 0.500 0.500

## Properties
Formation energy (no corrections) in eV per atom: -1.458
Size of the total moment in μB/atom: 0.00



[4]
First-principles (PBE) data for an optimized crystal structure of Mn2AgSe, as listed in Alexandria.

a b c (Å): 4.341 4.341 3.564
angles (deg): 90.00 90.00 89.96
Site moments in Bohr magnetons follow the coordinates.
Element x y z (fractional)
Ag: 0.000 0.500 0.500  0.04
Mn: 0.000 0.000 0.000  3.75
Mn: 0.500 0.500 0.000  3.75
Se: 0.500 0.000 0.500  0.02

## Properties
Formation energy (no corrections) in eV per atom: 0.218
Size of the total moment in μB/atom: 1.99



[5]
First-principles (PBE) data for an optimized crystal structure of NaLiCa2Rh, as listed in Alexandria.

a b c (Å): 5.472 5.472 5.090
angles (deg): 90.00 90.00 90.00
Element x y z (fractional)
Na: 0.500 0.500 0.500
Ca: 0.000 0.500 0.000
Ca: 0.500 0.000 0.000
Rh: 0.000 0.000 0.000
Li: 0.000 0.000 0.500

## Properties
Size of the total moment in μB/atom: 0.00
Relative energy among the computed polymorphs in meV per atom: 0



[6]
First-principles (PBE) data for an optimized crystal structure of LaCdSnPd3, as listed in Alexandria.

a b c (Å): 6.845 6.098 7.076
angles (deg): 115.52 90.00 90.00
Element x y z (fractional)
La: 0.750 0.338 0.675
La: 0.250 0.662 0.325
Cd: 0.250 0.908 0.815
Cd: 0.750 0.092 0.185
Sn: 0.250 0.362 0.724
Sn: 0.750 0.638 0.276
Pd: 0.250 0.150 0.300
Pd: 0.000 0.272 0.000
Pd: 0.500 0.728 0.000
Pd: 0.500 0.272 0.000
Pd: 0.000 0.728 0.000
Pd: 0.750 0.850 0.700

## Properties
Calculated total energy in eV per atom: -4.7277
Size of the total moment in μB/atom: 0.00



[7]
First-principles (PBE) data for an optimized crystal structure of BaGe2B, as listed in Alexandria.

a b c (Å): 5.037 5.037 5.037
angles (deg): 60.00 60.00 60.00
Element x y z (fractional)
Ge: 0.000 0.000 0.000
Ge: 0.250 0.250 0.250
B: 0.500 0.500 0.500
Ba: 0.750 0.750 0.750

## Properties
Calculated total energy in eV per atom: -3.7207
Size of the total moment in μB/atom: 0.00



[8]
First-principles (PBE) data for an optimized crystal structure of SrMgTl2, as listed in Alexandria.

a b c (Å): 10.331 10.331 10.331
angles (deg): 20.99 20.99 20.99
Element x y z (fractional)
Mg: 0.250 0.250 0.250
Sr: 0.750 0.750 0.750
Tl: 0.992 0.992 0.992
Tl: 0.508 0.508 0.508

## Properties
Size of the total moment in μB/atom: 0.00
Relative energy among the computed polymorphs in meV per atom: 193



[9]
First-principles (PBE) data for an optimized crystal structure of Li2TlHg2, as listed in Alexandria.

a b c (Å): 4.224 4.224 7.200
angles (deg): 72.94 72.94 90.00
Element x y z (fractional)
Tl: 0.000 0.000 0.000
Hg: 0.385 0.385 0.230
Hg: 0.615 0.615 0.770
Li: 0.750 0.250 0.500
Li: 0.250 0.750 0.500

## Properties
Size of the total moment in μB/atom: 0.00
Relative energy among the computed polymorphs in meV per atom: 92



[10]
First-principles (PBE) data for an optimized crystal structure of Ac12PuIr7, as listed in Alexandria.

a b c (Å): 9.567 9.567 9.567
angles (deg): 107.31 107.31 107.31
Site moments in Bohr magnetons follow the coordinates.
Element x y z (fractional)
Ac: 0.926 0.315 0.783  0.01
Ac: 0.685 0.217 0.074  0.01
Ac: 0.447 0.156 0.369  0.00
Ac: 0.844 0.631 0.553  0.00
Ac: 0.217 0.074 0.685  0.01
Ac: 0.631 0.553 0.844  0.00
Ac: 0.369 0.447 0.156  0.00
Ac: 0.783 0.926 0.315  0.01
Ac: 0.156 0.369 0.447  0.00
Ac: 0.553 0.844 0.631  0.00
Ac: 0.315 0.783 0.926  0.01
Ac: 0.074 0.685 0.217  0.01
Pu: 0.000 0.000 0.000  4.96
Ir: 0.974 0.663 0.886  -0.05
Ir: 0.337 0.114 0.026  -0.05
Ir: 0.114 0.026 0.337  -0.05
Ir: 0.500 0.500 0.500  0.00
Ir: 0.886 0.974 0.663  -0.05
Ir: 0.663 0.886 0.974  -0.05
Ir: 0.026 0.337 0.114  -0.05

## Properties
Calculated total energy in eV per atom: -6.8142
Size of the total moment in μB/atom: 0.25



[11]
First-principles (PBE) data for an optimized crystal structure of Ca3AlAg3, as listed in Alexandria.

a b c (Å): 5.199 8.783 8.783
angles (deg): 120.00 90.00 90.00
Element x y z (fractional)
Ca: 0.750 0.653 0.563
Ca: 0.750 0.437 0.090
Ca: 0.750 0.910 0.347
Ca: 0.250 0.347 0.437
Ca: 0.250 0.563 0.910
Ca: 0.250 0.090 0.653
Al: 0.250 0.667 0.333
Al: 0.750 0.333 0.667
Ag: 0.250 0.832 0.785
Ag: 0.250 0.215 0.047
Ag: 0.250 0.953 0.168
Ag: 0.750 0.168 0.215
Ag: 0.750 0.785 0.953
Ag: 0.750 0.047 0.832

## Properties
Size of the total moment in μB/atom: 0.00
Relative energy among the computed polymorphs in meV per atom: 160



[12]
First-principles (PBE) data for an optimized crystal structure of Rb2CdInHg, as listed in Alexandria.

a b c (Å): 7.108 7.108 5.302
angles (deg): 90.00 90.00 90.00
Element x y z (fractional)
Cd: 0.000 0.000 0.000
Hg: 0.500 0.500 0.500
Rb: 0.000 0.500 0.000
Rb: 0.500 0.000 0.000
In: 0.000 0.000 0.500

## Properties
Calculated total energy in eV per atom: -1.1198
Size of the total moment in μB/atom: 0.00



[13]
First-principles (PBE) data for an optimized crystal structure of Cd3SbPd, as listed in Alexandria.

a b c (Å): 5.142 5.142 5.142
angles (deg): 90.00 90.00 90.00
Element x y z (fractional)
Sb: 0.500 0.500 0.500
Pd: 0.000 0.000 0.000
Cd: 0.000 0.500 0.000
Cd: 0.000 0.000 0.500
Cd: 0.500 0.000 0.000

## Properties
Formation energy (no corrections) in eV per atom: 0.174
Size of the total moment in μB/atom: 0.00
Relative energy among the computed polymorphs in meV per atom: 0



[14]
First-principles (PBE) data for an optimized crystal structure of BeNbRe, as listed in Alexandria.

a b c (Å): 9.172 4.807 7.876
angles (deg): 90.00 90.00 90.00
Element x y z (fractional)
Re: 0.000 0.000 0.061
Re: 0.250 0.250 0.311
Re: 0.000 0.500 0.561
Re: 0.250 0.750 0.811
Re: 0.500 0.000 0.561
Re: 0.750 0.250 0.811
Re: 0.500 0.500 0.061
Re: 0.750 0.750 0.311
Nb: 0.000 0.000 0.728
Nb: 0.250 0.250 0.978
Nb: 0.000 0.500 0.228
Nb: 0.250 0.750 0.478
Nb: 0.500 0.000 0.228
Nb: 0.750 0.250 0.478
Nb: 0.500 0.500 0.728
Nb: 0.750 0.750 0.978
Be: 0.000 0.000 0.386
Be: 0.250 0.250 0.636
Be: 0.000 0.500 0.886
Be: 0.250 0.750 0.136
Be: 0.500 0.000 0.886
Be: 0.750 0.250 0.136
Be: 0.500 0.500 0.386
Be: 0.750 0.750 0.636

## Properties
Size of the total moment in μB/atom: 0.00
Relative energy among the computed polymorphs in meV per atom: 301



[15]
First-principles (PBE) data for an optimized crystal structure of Ca2PrSmTe4, as listed in Alexandria.

a b c (Å): 4.454 7.910 7.711
angles (deg): 70.98 90.00 90.00
Element x y z (fractional)
Ca: 0.000 0.000 0.000
Ca: 0.500 0.000 0.500
Pr: 0.500 0.500 0.000
Sm: 0.000 0.500 0.500
Te: 0.000 0.756 0.745
Te: 0.000 0.244 0.255
Te: 0.500 0.753 0.252
Te: 0.500 0.247 0.748

## Properties
Formation energy (no corrections) in eV per atom: -1.509
Size of the total moment in μB/atom: 0.00



[16]
First-principles (PBE) data for an optimized crystal structure of Mg2AlPd, as listed in Alexandria.

a b c (Å): 3.316 3.316 6.376
angles (deg): 90.00 90.00 90.00
Element x y z (fractional)
Mg: 0.000 0.000 0.770
Mg: 0.000 0.000 0.230
Al: 0.500 0.500 0.500
Pd: 0.500 0.500 0.000

## Properties
Calculated total energy in eV per atom: -3.4071
Size of the total moment in μB/atom: 0.00



[17]
First-principles (PBE) data for an optimized crystal structure of HgPt3, as listed in Alexandria.

a b c (Å): 2.862 2.862 9.508
angles (deg): 90.00 90.00 120.00
Element x y z (fractional)
Hg: 0.000 0.000 0.000
Pt: 0.000 0.000 0.500
Pt: 0.333 0.667 0.256
Pt: 0.333 0.667 0.744

## Properties
Calculated total energy in eV per atom: -4.4802
Size of the total moment in μB/atom: 0.00



[18]
First-principles (PBE) data for an optimized crystal structure of TlCoAu2, as listed in Alexandria.

a b c (Å): 3.913 3.913 10.441
angles (deg): 79.20 79.20 90.00
Site moments in Bohr magnetons follow the coordinates.
Element x y z (fractional)
Co: 0.500 0.500 0.000  1.50
Co: 0.250 0.750 0.500  1.51
Tl: 0.000 0.000 0.000  -0.04
Tl: 0.750 0.250 0.500  -0.04
Au: 0.615 0.125 0.250  -0.01
Au: 0.135 0.625 0.250  -0.02
Au: 0.375 0.385 0.750  -0.02
Au: 0.875 0.865 0.750  -0.03

## Properties
Size of the total moment in μB/atom: 0.34
Relative energy among the computed polymorphs in meV per atom: 184



[19]
First-principles (PBE) data for an optimized crystal structure of RhWBr2, as listed in Alexandria.

a b c (Å): 3.240 3.240 8.863
angles (deg): 90.00 90.00 125.05
Site moments in Bohr magnetons follow the coordinates.
Element x y z (fractional)
Rh: 0.500 0.500 0.250  0.15
Br: 0.000 0.000 0.994  0.01
Br: 0.000 0.000 0.506  0.01
W: 0.500 0.500 0.750  0.52

## Properties
Formation energy (no corrections) in eV per atom: 0.937
Size of the total moment in μB/atom: 0.21
Relative energy among the computed polymorphs in meV per atom: 865



[20]
First-principles (PBE) data for an optimized crystal structure of SbNCl, as listed in Alexandria.

a b c (Å): 6.618 5.663 12.255
angles (deg): 87.62 73.44 81.03
Site moments in Bohr magnetons follow the coordinates.
Element x y z (fractional)
Sb: 0.016 0.708 0.926  0.01
Sb: 0.563 0.792 0.925  0.01
Sb: 0.437 0.208 0.075  0.01
Sb: 0.984 0.292 0.074  0.01
N: 0.791 0.022 0.393  1.94
N: 0.300 0.483 0.392  1.94
N: 0.700 0.517 0.608  1.94
N: 0.209 0.978 0.607  1.94
Cl: 0.886 0.538 0.241  0.02
Cl: 0.358 0.963 0.241  0.02
Cl: 0.642 0.037 0.759  0.02
Cl: 0.114 0.462 0.759  0.02

## Properties
Formation energy (no corrections) in eV per atom: 1.438
Size of the total moment in μB/atom: 1.00
Relative energy among the computed polymorphs in meV per atom: 1459